K3Y3MoO8 after structural relaxation, computed with PBE with a Hubbard U.

abc: 11.8806 6.7939 7.4220
angles: 90.00 121.99 90.00
Space group C2/m (No. 12)
Inequivalent atoms, fractional coordinates:
K 0.0000 0.0000 0.0000 [2 per cell]
K 0.2500 0.2500 0.0000 [4 per cell]
Y 0.0000 0.5000 0.5000 [2 per cell]
Y 0.2500 0.2500 0.5000 [4 per cell]
Mo 0.0000 0.0000 0.5000 [2 per cell]
O 0.0190 0.2284 0.3274 [8 per cell]
O 0.2169 0.0000 0.6758 [4 per cell]
O 0.2261 0.5000 0.6827 [4 per cell]

Results
**Spin magnetization**: 4.00 μB/cell
**E**: -7.191 eV/atom
**Crystal system**: monoclinic
**DOS(E_F)**: 0.00 states/eV per cell